Below is crystalline YAlTeMo2 at its relaxed geometry, with properties calculated at the PBE level.

a = 4.6839 Å, b = 5.2792 Å, c = 4.6839 Å
α = 90.00°, β = 90.00°, γ = 90.00°
Closest atoms and distances in Å follow each position.
Sites, in units of the cell vectors:
Y 0.5000 0.5000 0.5000  4 Te 3.31, 8 Mo 3.53
Mo 0.0000 0.0000 0.5000  2 Al 2.34
Mo 0.5000 0.0000 0.0000  2 Al 2.34
Te 0.0000 0.5000 0.0000  2 Al 2.64
Al 0.0000 0.0000 0.0000  4 Mo 2.34

Calculated values
Symmetry: P4/mmm
Magnetic moment in μB per cell: 0.000
Formation energy from raw total energies in meV/atom: 963

***

Below is crystalline ZrAlTeMo2 at its relaxed geometry, with properties calculated at the PBE level.

a = 4.8810 Å, b = 5.0978 Å, c = 4.8810 Å
α = 90.00°, β = 90.00°, γ = 90.00°
Closest atoms and distances in Å follow each position.
Sites, in units of the cell vectors:
Mo 0.0000 0.0000 0.5000  2 Zr 2.44
Mo 0.5000 0.0000 0.0000  2 Zr 2.44
Te 0.5000 0.5000 0.5000  4 Al 3.45, 8 Mo 3.53
Al 0.0000 0.5000 0.0000  2 Zr 2.55
Zr 0.0000 0.0000 0.0000  4 Mo 2.44, 2 Al 2.55

Calculated values
Symmetry: P4/mmm
Magnetic moment in μB per cell: 0.000
Formation energy from raw total energies in meV/atom: 1581

***

Below is crystalline Th6Al43Mo4 at its relaxed geometry, with properties calculated at the PBE level.

a = 11.1161 Å, b = 11.1161 Å, c = 17.9760 Å
α = 90.00°, β = 90.00°, γ = 120.00°
Closest atoms and distances in Å follow each position.
Sites, in units of the cell vectors:
Th 0.4709 0.4709 0.9051  15 Al 3.12-3.48, 1 Th 3.47
Th 0.5291 0.0000 0.9051  15 Al 3.12-3.48, 1 Th 3.47
Th 0.0000 0.5291 0.9051  15 Al 3.12-3.48, 1 Th 3.47
Th 0.5291 0.5291 0.0949  15 Al 3.12-3.48, 1 Th 3.47
Th 0.4709 0.0000 0.0949  15 Al 3.12-3.48, 1 Th 3.47
Th 0.0000 0.4709 0.0949  15 Al 3.12-3.48, 1 Th 3.47
Th 0.5291 0.5291 0.4051  15 Al 3.12-3.48, 1 Th 3.47
Th 0.4709 0.0000 0.4051  15 Al 3.12-3.48, 1 Th 3.47
Th 0.0000 0.4709 0.4051  15 Al 3.12-3.48, 1 Th 3.47
Th 0.4709 0.4709 0.5949  15 Al 3.12-3.48, 1 Th 3.47
Th 0.5291 0.0000 0.5949  15 Al 3.12-3.48, 1 Th 3.47
Th 0.0000 0.5291 0.5949  15 Al 3.12-3.48, 1 Th 3.47
Al 0.8405 0.2334 0.8347  1 Mo 2.72, 6 Al 2.75-2.94
Al 0.7666 0.6071 0.8347  1 Mo 2.72, 6 Al 2.75-2.94
Al 0.3929 0.1595 0.8347  1 Mo 2.72, 6 Al 2.75-2.94
Al 0.2334 0.8405 0.8347  1 Mo 2.72, 6 Al 2.75-2.94
Al 0.6071 0.7666 0.8347  1 Mo 2.72, 6 Al 2.75-2.94
Al 0.1595 0.3929 0.8347  1 Mo 2.72, 6 Al 2.75-2.94
Al 0.1595 0.7666 0.1653  1 Mo 2.72, 6 Al 2.75-2.94
Al 0.2334 0.3929 0.1653  1 Mo 2.72, 6 Al 2.75-2.94
Al 0.6071 0.8405 0.1653  1 Mo 2.72, 6 Al 2.75-2.94
Al 0.7666 0.1595 0.1653  1 Mo 2.72, 6 Al 2.75-2.94
Al 0.3929 0.2334 0.1653  1 Mo 2.72, 6 Al 2.75-2.94
Al 0.8405 0.6071 0.1653  1 Mo 2.72, 6 Al 2.75-2.94
Al 0.1595 0.7666 0.3347  1 Mo 2.72, 6 Al 2.75-2.94
Al 0.2334 0.3929 0.3347  1 Mo 2.72, 6 Al 2.75-2.94
Al 0.6071 0.8405 0.3347  1 Mo 2.72, 6 Al 2.75-2.94
Al 0.7666 0.1595 0.3347  1 Mo 2.72, 6 Al 2.75-2.94
Al 0.3929 0.2334 0.3347  1 Mo 2.72, 6 Al 2.75-2.94
Al 0.8405 0.6071 0.3347  1 Mo 2.72, 6 Al 2.75-2.94
Al 0.8405 0.2334 0.6653  1 Mo 2.72, 6 Al 2.75-2.94
Al 0.7666 0.6071 0.6653  1 Mo 2.72, 6 Al 2.75-2.94
Al 0.3929 0.1595 0.6653  1 Mo 2.72, 6 Al 2.75-2.94
Al 0.2334 0.8405 0.6653  1 Mo 2.72, 6 Al 2.75-2.94
Al 0.6071 0.7666 0.6653  1 Mo 2.72, 6 Al 2.75-2.94
Al 0.1595 0.3929 0.6653  1 Mo 2.72, 6 Al 2.75-2.94
Al 0.8406 0.8406 0.3855  2 Mo 2.72, 7 Al 2.75-2.97
Al 0.1594 0.0000 0.3855  2 Mo 2.72, 7 Al 2.75-2.97
Al 0.0000 0.1594 0.3855  2 Mo 2.72, 7 Al 2.75-2.97
Al 0.1594 0.1594 0.6145  2 Mo 2.72, 7 Al 2.75-2.97
Al 0.8406 0.0000 0.6145  2 Mo 2.72, 7 Al 2.75-2.97
Al 0.0000 0.8406 0.6145  2 Mo 2.72, 7 Al 2.75-2.97
Al 0.1594 0.1594 0.8855  2 Mo 2.72, 7 Al 2.75-2.97
Al 0.8406 0.0000 0.8855  2 Mo 2.72, 7 Al 2.75-2.97
Al 0.0000 0.8406 0.8855  2 Mo 2.72, 7 Al 2.75-2.97
Al 0.8406 0.8406 0.1145  2 Mo 2.72, 7 Al 2.75-2.97
Al 0.1594 0.0000 0.1145  2 Mo 2.72, 7 Al 2.75-2.97
Al 0.0000 0.1594 0.1145  2 Mo 2.72, 7 Al 2.75-2.97
Al 0.7486 0.7486 0.9691  9 Al 2.77-3.01, 1 Mo 2.85
Al 0.2514 0.0000 0.9691  9 Al 2.77-3.01, 1 Mo 2.85
Al 0.0000 0.2514 0.9691  9 Al 2.77-3.01, 1 Mo 2.85
Al 0.2514 0.2514 0.0309  9 Al 2.77-3.01, 1 Mo 2.85
Al 0.7486 0.0000 0.0309  9 Al 2.77-3.01, 1 Mo 2.85
Al 0.0000 0.7486 0.0309  9 Al 2.77-3.01, 1 Mo 2.85
Al 0.2514 0.2514 0.4691  9 Al 2.77-3.01, 1 Mo 2.85
Al 0.7486 0.0000 0.4691  9 Al 2.77-3.01, 1 Mo 2.85
Al 0.0000 0.7486 0.4691  9 Al 2.77-3.01, 1 Mo 2.85
Al 0.7486 0.7486 0.5309  9 Al 2.77-3.01, 1 Mo 2.85
Al 0.2514 0.0000 0.5309  9 Al 2.77-3.01, 1 Mo 2.85
Al 0.0000 0.2514 0.5309  9 Al 2.77-3.01, 1 Mo 2.85
Al 0.8528 0.4478 0.7500  1 Mo 2.74, 7 Al 2.77-2.85
Al 0.5522 0.4050 0.7500  1 Mo 2.74, 7 Al 2.77-2.85
Al 0.5950 0.1472 0.7500  1 Mo 2.74, 7 Al 2.77-2.85
Al 0.4478 0.8528 0.7500  1 Mo 2.74, 7 Al 2.77-2.85
Al 0.4050 0.5522 0.7500  1 Mo 2.74, 7 Al 2.77-2.85
Al 0.1472 0.5950 0.7500  1 Mo 2.74, 7 Al 2.77-2.85
Al 0.1472 0.5522 0.2500  1 Mo 2.74, 7 Al 2.77-2.85
Al 0.4478 0.5950 0.2500  1 Mo 2.74, 7 Al 2.77-2.85
Al 0.4050 0.8528 0.2500  1 Mo 2.74, 7 Al 2.77-2.85
Al 0.5522 0.1472 0.2500  1 Mo 2.74, 7 Al 2.77-2.85
Al 0.5950 0.4478 0.2500  1 Mo 2.74, 7 Al 2.77-2.85
Al 0.8528 0.4050 0.2500  1 Mo 2.74, 7 Al 2.77-2.85
Al 0.7535 0.2465 0.0000  6 Al 2.77-2.90
Al 0.7535 0.5071 0.0000  6 Al 2.77-2.90
Al 0.4929 0.2465 0.0000  6 Al 2.77-2.90
Al 0.2465 0.7535 0.0000  6 Al 2.77-2.90
Al 0.5071 0.7535 0.0000  6 Al 2.77-2.90
Al 0.2465 0.4929 0.0000  6 Al 2.77-2.90
Al 0.2465 0.7535 0.5000  6 Al 2.77-2.90
Al 0.2465 0.4929 0.5000  6 Al 2.77-2.90
Al 0.5071 0.7535 0.5000  6 Al 2.77-2.90
Al 0.7535 0.2465 0.5000  6 Al 2.77-2.90
Al 0.4929 0.2465 0.5000  6 Al 2.77-2.90
Al 0.7535 0.5071 0.5000  6 Al 2.77-2.90
Al 0.6667 0.3333 0.8726  9 Al 2.75-2.85
Al 0.3333 0.6667 0.8726  9 Al 2.75-2.85
Al 0.3333 0.6667 0.1274  9 Al 2.75-2.85
Al 0.6667 0.3333 0.1274  9 Al 2.75-2.85
Al 0.3333 0.6667 0.3726  9 Al 2.75-2.85
Al 0.6667 0.3333 0.3726  9 Al 2.75-2.85
Al 0.6667 0.3333 0.6274  9 Al 2.75-2.85
Al 0.3333 0.6667 0.6274  9 Al 2.75-2.85
Al 0.8534 0.8534 0.7500  2 Mo 2.58, 6 Al 2.82-2.85
Al 0.1466 0.0000 0.7500  2 Mo 2.58, 6 Al 2.82-2.85
Al 0.0000 0.1466 0.7500  2 Mo 2.58, 6 Al 2.82-2.85
Al 0.1466 0.1466 0.2500  2 Mo 2.58, 6 Al 2.82-2.85
Al 0.8534 0.0000 0.2500  2 Mo 2.58, 6 Al 2.82-2.85
Al 0.0000 0.8534 0.2500  2 Mo 2.58, 6 Al 2.82-2.85
Mo 0.2675 0.2675 0.7500  10 Al 2.58-2.74
Mo 0.7325 0.0000 0.7500  10 Al 2.58-2.74
Mo 0.0000 0.7325 0.7500  10 Al 2.58-2.74
Mo 0.7325 0.7325 0.2500  10 Al 2.58-2.74
Mo 0.2675 0.0000 0.2500  10 Al 2.58-2.74
Mo 0.0000 0.2675 0.2500  10 Al 2.58-2.74
Mo 0.0000 0.0000 0.0000  12 Al 2.72-2.85
Mo 0.0000 0.0000 0.5000  12 Al 2.72-2.85

Calculated values
Symmetry: P6_3/mcm
Magnetic moment in μB per cell: 0.000
DFT formation energy in meV per atom: -294.8

***

Below is crystalline Th3Al9Mo2 at its relaxed geometry, with properties calculated at the PBE level.

a = 4.4827 Å, b = 8.3975 Å, c = 8.3975 Å
α = 70.54°, β = 74.52°, γ = 74.52°
Closest atoms and distances in Å follow each position.
Sites, in units of the cell vectors:
Th 0.0000 0.0000 0.0000  12 Al 3.17-3.30
Th 0.6973 0.3027 0.3027  2 Mo 3.08, 10 Al 3.22-3.40
Th 0.3027 0.6973 0.6973  2 Mo 3.08, 10 Al 3.22-3.40
Al 0.0000 0.5000 0.5000  4 Al 2.65, 4 Mo 2.83
Al 0.6539 0.9877 0.7045  3 Al 2.65-2.75, 1 Mo 2.66
Al 0.3461 0.0123 0.2955  3 Al 2.65-2.75, 1 Mo 2.66
Al 0.6539 0.7045 0.9877  3 Al 2.65-2.75, 1 Mo 2.66
Al 0.3461 0.2955 0.0123  3 Al 2.65-2.75, 1 Mo 2.66
Al 0.8761 0.8417 0.4062  3 Al 2.65, 2 Mo 2.78
Al 0.1239 0.1583 0.5938  3 Al 2.65, 2 Mo 2.78
Al 0.8761 0.4062 0.8417  3 Al 2.65, 2 Mo 2.78
Al 0.1239 0.5938 0.1583  3 Al 2.65, 2 Mo 2.78
Mo 0.5000 0.3224 0.6776  8 Al 2.66-2.83
Mo 0.5000 0.6776 0.3224  8 Al 2.66-2.83

Calculated values
Symmetry: Immm
Magnetic moment in μB per cell: 0.000
DFT formation energy in meV per atom: -358.5

***

Below is crystalline ThAlMo at its relaxed geometry, with properties calculated at the PBE level.

a = 5.0873 Å, b = 6.0985 Å, c = 9.7803 Å
α = 83.77°, β = 74.93°, γ = 65.35°
Closest atoms and distances in Å follow each position.
Sites, in units of the cell vectors:
Al 0.1652 0.5000 0.6697  2 Mo 2.68
Al 0.3348 0.5000 0.3303  2 Mo 2.68
Al 0.5848 0.0000 0.8303  2 Mo 2.68
Al 0.4152 0.0000 0.1697  2 Mo 2.68
Mo 0.6201 0.5000 0.7597  2 Al 2.68, 4 Th 2.84-2.94
Mo 0.8799 0.5000 0.2403  2 Al 2.68, 4 Th 2.84-2.94
Mo 0.1299 0.0000 0.7403  2 Al 2.68, 4 Th 2.84-2.94
Mo 0.8701 0.0000 0.2597  2 Al 2.68, 4 Th 2.84-2.94
Th 0.8963 0.2073 0.5000  4 Mo 2.84-2.94
Th 0.6037 0.7927 0.5000  4 Mo 2.84-2.94
Th 0.8537 0.2927 0.0000  4 Mo 2.84-2.94
Th 0.1463 0.7073 0.0000  4 Mo 2.84-2.94

Calculated values
Symmetry: Fddd
Magnetic moment in μB per cell: 0.000
DFT formation energy in meV per atom: 168.0
ΔE to the lowest computed polymorph in meV per atom: 387

***

Below is crystalline ThAlMo at its relaxed geometry, with properties calculated at the PBE level.

a = 5.5893 Å, b = 5.5893 Å, c = 5.5893 Å
α = 92.51°, β = 121.24°, γ = 115.95°
Closest atoms and distances in Å follow each position.
Sites, in units of the cell vectors:
Th 0.2500 0.1347 0.3847  6 Mo 3.14-3.43, 6 Al 3.24-3.32, 4 Th 3.44-3.46
Th 0.7500 0.8653 0.6153  6 Mo 3.14-3.43, 6 Al 3.24-3.32, 4 Th 3.44-3.46
Al 0.5000 0.0000 0.0000  4 Mo 2.79, 2 Al 2.96
Al 0.0000 0.5000 0.0000  4 Mo 2.79, 2 Al 2.96
Mo 0.0000 0.5000 0.5000  2 Mo 2.74, 4 Al 2.79
Mo 0.5000 0.5000 0.0000  2 Mo 2.74, 4 Al 2.79

Calculated values
Symmetry: Imma
Magnetic moment in μB per cell: 0.000
DFT formation energy in meV per atom: -218.8
ΔE to the lowest computed polymorph in meV per atom: 0

***

Below is crystalline Ti7Al2Mo2 at its relaxed geometry, with properties calculated at the PBE level.

a = 7.2780 Å, b = 5.1584 Å, c = 5.1584 Å
α = 94.97°, β = 78.93°, γ = 78.93°
Closest atoms and distances in Å follow each position.
Sites, in units of the cell vectors:
Ti 0.1901 0.0884 0.4655  3 Mo 2.66-2.83, 1 Al 2.71, 2 Ti 2.87-2.95
Ti 0.8099 0.5345 0.9116  3 Mo 2.66-2.83, 1 Al 2.71, 2 Ti 2.87-2.95
Ti 0.8099 0.9116 0.5345  3 Mo 2.66-2.83, 1 Al 2.71, 2 Ti 2.87-2.95
Ti 0.1901 0.4655 0.0884  3 Mo 2.66-2.83, 1 Al 2.71, 2 Ti 2.87-2.95
Ti 0.0000 0.0000 0.0000  2 Mo 2.66, 6 Ti 2.86-2.95
Ti 0.4096 0.8637 0.8637  2 Ti 2.60-2.86, 4 Al 2.77-2.78, 1 Mo 2.90
Ti 0.5904 0.1363 0.1363  2 Ti 2.60-2.86, 4 Al 2.77-2.78, 1 Mo 2.90
Al 0.5000 0.3216 0.6784  1 Al 2.71, 6 Ti 2.71-2.78, 2 Mo 2.74
Al 0.5000 0.6784 0.3216  1 Al 2.71, 6 Ti 2.71-2.78, 2 Mo 2.74
Mo 0.8415 0.3937 0.3937  8 Ti 2.66-2.90, 2 Al 2.74
Mo 0.1585 0.6063 0.6063  8 Ti 2.66-2.90, 2 Al 2.74

Calculated values
Symmetry: C2/m
Magnetic moment in μB per cell: 0.005
DFT formation energy in meV per atom: -150.3

***

Below is crystalline Ti6Al2Mo at its relaxed geometry, with properties calculated at the PBE level.

a = 4.4250 Å, b = 6.1381 Å, c = 7.4805 Å
α = 114.22°, β = 107.23°, γ = 90.00°
Closest atoms and distances in Å follow each position.
Sites, in units of the cell vectors:
Ti 0.1576 0.4078 0.3143  1 Mo 2.55, 3 Al 2.68-2.70
Ti 0.8424 0.0935 0.6857  1 Mo 2.55, 3 Al 2.68-2.70
Ti 0.8424 0.5922 0.6857  1 Mo 2.55, 3 Al 2.68-2.70
Ti 0.5000 0.2464 0.0000  2 Mo 2.68, 2 Al 2.72, 2 Ti 3.00
Ti 0.1576 0.9065 0.3143  1 Mo 2.55, 3 Al 2.68-2.70
Ti 0.5000 0.7536 0.0000  2 Mo 2.68, 2 Al 2.72, 2 Ti 3.00
Al 0.6733 0.6728 0.3456  8 Ti 2.68-2.72
Al 0.3267 0.3272 0.6544  8 Ti 2.68-2.72
Mo 0.0000 0.0000 0.0000  8 Ti 2.55-2.68

Calculated values
Symmetry: Immm
Magnetic moment in μB per cell: 0.001
DFT formation energy in meV per atom: 329.9

***

Below is crystalline TiAlMo2 at its relaxed geometry, with properties calculated at the PBE level.

a = 4.3139 Å, b = 3.8168 Å, c = 3.8168 Å
α = 90.00°, β = 90.00°, γ = 90.00°
Closest atoms and distances in Å follow each position.
Sites, in units of the cell vectors:
Mo 0.0000 0.0000 0.5000  4 Mo 2.70, 4 Al 2.88, 4 Ti 2.88
Mo 0.0000 0.5000 0.0000  4 Mo 2.70, 4 Al 2.88, 4 Ti 2.88
Al 0.5000 0.0000 0.0000  4 Ti 2.70, 8 Mo 2.88
Ti 0.5000 0.5000 0.5000  4 Al 2.70, 8 Mo 2.88

Calculated values
Symmetry: P4/mmm
Magnetic moment in μB per cell: 0.000
DFT formation energy in meV per atom: -173.3

***

Question: Which value of magnetic moment does entry 3 give?
Answer: 0.000 μB per cell